# GGA-PBE Pr2AuSe3, relaxed
data_Pr2AuSe3
_chemical_formula_sum 'Pr8 Au4 Se12'
_cell_length_a 10.764
_cell_length_b 4.070
_cell_length_c 14.044
_cell_angle_alpha 90.00
_cell_angle_beta 90.00
_cell_angle_gamma 90.00
_symmetry_space_group_name_H-M 'P 1'
_symmetry_Int_Tables_number 1
_symmetry_space_group_name_Hall 'P 1'
loop_
_atom_site_label
_atom_site_type_symbol
_atom_site_fract_x
_atom_site_fract_y
_atom_site_fract_z
Pr1 Pr 0.012 0.250 0.248
Pr2 Pr 0.232 0.750 0.519
Pr3 Pr 0.268 0.250 0.019
Pr4 Pr 0.488 0.750 0.748
Pr5 Pr 0.512 0.250 0.252
Pr6 Pr 0.732 0.750 0.981
Pr7 Pr 0.768 0.250 0.481
Pr8 Pr 0.988 0.750 0.752
Au1 Au 0.241 0.250 0.722
Au2 Au 0.259 0.750 0.222
Au3 Au 0.741 0.250 0.778
Au4 Au 0.759 0.750 0.278
Se1 Se 0.048 0.250 0.598
Se2 Se 0.079 0.750 0.095
Se3 Se 0.238 0.750 0.855
Se4 Se 0.262 0.250 0.355
Se5 Se 0.421 0.250 0.595
Se6 Se 0.452 0.750 0.098
Se7 Se 0.548 0.250 0.902
Se8 Se 0.579 0.750 0.405
Se9 Se 0.738 0.750 0.645
Se10 Se 0.762 0.250 0.145
Se11 Se 0.921 0.250 0.905
Se12 Se 0.952 0.750 0.402
# E_tot = -0.1930 Ha/atom
# Symmetry = No. 62



# GGA-PBE Cd2N, relaxed
data_Cd2N
_chemical_formula_sum 'Cd2 N1'
_cell_length_a 4.154
_cell_length_b 4.154
_cell_length_c 4.154
_cell_angle_alpha 60.00
_cell_angle_beta 60.00
_cell_angle_gamma 60.00
_symmetry_space_group_name_H-M 'P 1'
_symmetry_Int_Tables_number 1
_symmetry_space_group_name_Hall 'P 1'
loop_
_atom_site_label
_atom_site_type_symbol
_atom_site_fract_x
_atom_site_fract_y
_atom_site_fract_z
Cd1 Cd 0.250 0.250 0.250
Cd2 Cd 0.750 0.750 0.750
N1 N 0.000 0.000 0.000
# E_tot = -0.0986 Ha/atom
# Symmetry = No. 225



# GGA-PBE NbAgMo, relaxed
data_NbAgMo
_chemical_formula_sum 'Nb1 Ag1 Mo1'
_cell_length_a 4.422
_cell_length_b 4.422
_cell_length_c 4.422
_cell_angle_alpha 60.00
_cell_angle_beta 60.00
_cell_angle_gamma 60.00
_symmetry_space_group_name_H-M 'P 1'
_symmetry_Int_Tables_number 1
_symmetry_space_group_name_Hall 'P 1'
loop_
_atom_site_label
_atom_site_type_symbol
_atom_site_fract_x
_atom_site_fract_y
_atom_site_fract_z
Nb1 Nb 0.000 0.000 0.000
Ag1 Ag 0.500 0.500 0.500
Mo1 Mo 0.750 0.750 0.750
# Formation enthalpy at 0 K = 1.229 eV per atom
# Symmetry = No. 216